# 1
VASP calculation (PBE) on a relaxed structure of YInSiNi2.

Lattice parameters (Å, degrees): 4.6362 4.6362 5.2679 90.00 90.00 90.00
Atoms (fractional coordinates):
Y 0.0000 0.0000 0.0000
In 0.5000 0.5000 0.5000
Si 0.0000 0.0000 0.5000
Ni 0.0000 0.5000 0.0000
Ni 0.5000 0.0000 0.0000

Results
E_form (uncorrected)	1.14	eV per atom

=====

# 2
VASP calculation (PBE) on a relaxed structure of TeRuS2.

Lattice parameters (Å, degrees): 6.2650 6.2650 6.2650 117.70 117.70 94.04
Atoms (fractional coordinates):
Te 0.0000 0.0000 0.0000
Te 0.7500 0.2500 0.5000
Ru 0.2500 0.7500 0.5000
Ru 0.5000 0.5000 0.0000
S 0.2027 0.6250 0.0777
S 0.3750 0.4527 0.5777
S 0.5473 0.1250 0.9223
S 0.8750 0.7973 0.4223

Results
E_form (uncorrected)	0.17	eV per atom

=====

# 3
VASP calculation (PBE) on a relaxed structure of Ac2ZnSi4Au3.

Lattice parameters (Å, degrees): 4.4819 4.4819 10.3237 90.00 90.00 90.00
Atoms (fractional coordinates):
Ac 0.0000 0.5000 0.2501
Ac 0.5000 0.0000 0.7499
Zn 0.0000 0.0000 0.5000
Si 0.0000 0.0000 0.0000
Si 0.0000 0.5000 0.6301
Si 0.5000 0.0000 0.3699
Si 0.5000 0.5000 0.0000
Au 0.0000 0.5000 0.8771
Au 0.5000 0.0000 0.1229
Au 0.5000 0.5000 0.5000

Results
E_form (uncorrected)	-0.56	eV per atom

=====

# 4
VASP calculation (PBE) on a relaxed structure of Ba4ZrPb.

Lattice parameters (Å, degrees): 7.1814 7.1814 7.1814 60.00 60.00 60.00
Atoms (fractional coordinates):
Ba 0.1248 0.1248 0.1248
Ba 0.1248 0.1248 0.6257
Ba 0.1248 0.6257 0.1248
Ba 0.6257 0.1248 0.1248
Zr 0.5000 0.5000 0.5000
Pb 0.7500 0.7500 0.7500

Results
formation enthalpy at 0 K	595	meV per atom

=====

# 5
VASP calculation (PBE) on a relaxed structure of La3PmGe2C.

Lattice parameters (Å, degrees): 8.7718 8.7718 8.7718 147.22 147.09 47.13
Atoms (fractional coordinates):
La 0.0000 0.0000 0.0000
La 0.3294 0.8294 0.5000
La 0.6706 0.1706 0.5000
Pm 0.5000 0.5000 0.0000
Ge 0.1349 0.6349 0.5000
Ge 0.8651 0.3651 0.5000
C 0.5000 0.0000 0.5000

Results
formation enthalpy at 0 K	-519	meV per atom

=====

# 6
VASP calculation (PBE) on a relaxed structure of LaTb3Sm.

Lattice parameters (Å, degrees): 6.3573 6.8490 9.3635 108.23 90.05 117.61
Atoms (fractional coordinates):
La 0.1305 0.1028 0.3485
La 0.8695 0.8972 0.6515
Tb 0.0662 0.3025 0.0485
Tb 0.2647 0.7002 0.4476
Tb 0.3339 0.5027 0.7515
Tb 0.6661 0.4973 0.2485
Tb 0.7353 0.2998 0.5524
Tb 0.9338 0.6975 0.9515
Sm 0.4670 0.1037 0.8523
Sm 0.5330 0.8963 0.1477

Results
formation enthalpy at 0 K	28	meV per atom
offset from the most stable computed form	0.000	eV/atom

=====

# 7
VASP calculation (PBE) on a relaxed structure of TiBiN2F.

Lattice parameters (Å, degrees): 4.0957 4.0957 3.8566 90.00 90.00 90.00
Atoms (fractional coordinates):
Ti 0.0000 0.0000 0.0000
Bi 0.5000 0.5000 0.5000
N 0.0000 0.5000 0.0000
N 0.5000 0.0000 0.0000
F 0.0000 0.0000 0.5000

Results
E_form (uncorrected)	-0.76	eV per atom
offset from the most stable computed form	0.000	eV/atom

=====

# 8
VASP calculation (PBE) on a relaxed structure of SrMnGaAs2.

Lattice parameters (Å, degrees): 5.3929 5.3929 4.8366 90.00 90.00 90.00
Atoms (fractional coordinates):
Sr 0.0000 0.0000 0.0000
Mn 0.5000 0.5000 0.0000
Ga 0.5000 0.5000 0.5000
As 0.0000 0.5000 0.5000
As 0.5000 0.0000 0.5000

Results
formation enthalpy at 0 K	126	meV per atom

=====

In the order shown, the computed density of states at the Fermi level values come out to 4.36, 9.26, 2.65, 8.90, 2.55, 17.62, 0.15, 3.77 states/eV/cell.
In the order shown, the computed raw total energy values come out to -4.094, -5.000, -4.661, -2.730, -5.947, -4.680, -6.818, -4.510 eV/atom.